Entry 1:
The following is a DFT calculation (PBEsol) of crystalline Cd2AgSe at its relaxed geometry.

Calculated values
formation energy from raw total energies = -0.01 eV per atom
E_tot = -2.40 eV per atom

Cell lengths 2.9681, 4.2009, 6.6035 Å; angles 90.00, 90.00, 90.00 degrees
With the nearest neighbours (Å) after each atom.
Element x y z (fractional)
Cd 0.0000 0.0000 0.0000  4 Ag 2.89, 6 Cd 2.97-3.05
Cd 0.5000 0.5000 0.2483  2 Se 2.83, 1 Ag 2.95, 6 Cd 2.97-3.05
Ag 0.5000 0.5000 0.8010  2 Se 2.74, 5 Cd 2.89-2.95, 2 Ag 2.97
Se 0.5000 0.0000 0.5345  2 Ag 2.74, 2 Cd 2.83, 2 Se 2.97

=====

Entry 2:
The following is a DFT calculation (PBEsol) of crystalline In2FeSb at its relaxed geometry.

Calculated values
formation energy from raw total energies = 0.43 eV per atom
E_tot = -4.44 eV per atom

Cell lengths 5.3223, 5.3223, 5.3223 Å; angles 130.89, 130.89, 71.99 degrees
With the nearest neighbours (Å) after each atom.
Element x y z (fractional)
In 0.0000 0.0000 0.0000  4 In 3.09, 4 Sb 3.09, 4 Fe 3.13
In 0.7500 0.2500 0.5000  4 In 3.09, 4 Fe 3.09, 4 Sb 3.13
Fe 0.5000 0.5000 0.0000  8 In 3.09-3.13, 4 Sb 3.09
Sb 0.2500 0.7500 0.5000  8 In 3.09-3.13, 4 Fe 3.09